--- w ---
VASP calculation (PBEsol) on a geometry-optimized NiAg2Mo structure.

abc: 4.355 4.355 4.355
angles: 119.74 119.74 90.45
Sites, in units of the cell vectors:
1 Ni 0.000 0.000 0.000
2 Ag 0.250 0.750 0.500
3 Ag 0.500 0.500 0.000
4 Mo 0.750 0.250 0.500

Output
The value obtained for the mass density is 10.49 g cm⁻³.

---

--- x ---
VASP calculation (PBEsol) on a geometry-optimized NiAg2Mo structure.

abc: 9.169 9.169 9.169
angles: 17.24 17.24 17.24
Sites, in units of the cell vectors:
1 Ni 0.000 0.000 0.000
2 Ag 0.504 0.504 0.504
3 Ag 0.747 0.747 0.747
4 Mo 0.261 0.261 0.261

Output
The value obtained for the mass density is 10.41 g cm⁻³.

---

--- y ---
VASP calculation (PBEsol) on a geometry-optimized NiAg2Mo structure.

abc: 5.038 5.038 2.628
angles: 90.00 90.00 117.64
Sites, in units of the cell vectors:
1 Ni 0.000 0.000 0.000
2 Ag 0.000 0.500 0.500
3 Ag 0.500 0.000 0.500
4 Mo 0.500 0.500 0.000

Output
The value obtained for the mass density is 10.41 g cm⁻³.

---

Stability ranking, top entry: x; the second entry is 298 meV/atom less favorable.